Record 1
SiPIrO | PBE | optimized geometry

Results
electronic total energy	-5.914	eV/atom
total magnetization	0.000	μB/cell

a = 4.3007 Å, b = 4.3007 Å, c = 5.4717 Å
α = 90.00°, β = 90.00°, γ = 90.00°
Closest atoms and distances in Å follow each position.
Positions (direct):
Si  0.2500  0.7500  0.0000  4 P 2.32
Si  0.7500  0.2500  0.0000  4 P 2.32
P  0.2500  0.2500  0.1590  4 Si 2.32, 1 Ir 2.38
P  0.7500  0.7500  0.8410  4 Si 2.32, 1 Ir 2.38
Ir  0.2500  0.2500  0.5936  4 O 2.21, 1 P 2.38
Ir  0.7500  0.7500  0.4064  4 O 2.21, 1 P 2.38
O  0.2500  0.7500  0.5000  4 Ir 2.21
O  0.7500  0.2500  0.5000  4 Ir 2.21

---

Record 2
SnPIrO | PBE | optimized geometry

Results
electronic total energy	-6.621	eV/atom
total magnetization	0.070	μB/cell

a = 3.9031 Å, b = 3.9031 Å, c = 9.8460 Å
α = 90.00°, β = 90.00°, γ = 90.00°
Closest atoms and distances in Å follow each position.
Positions (direct):
Sn  0.2500  0.2500  0.1164  4 O 2.26
Sn  0.7500  0.7500  0.8836  4 O 2.26
P  0.2500  0.2500  0.6327  4 Ir 2.35
P  0.7500  0.7500  0.3673  4 Ir 2.35
Ir  0.2500  0.7500  0.5000  4 P 2.35
Ir  0.7500  0.2500  0.5000  4 P 2.35
O  0.2500  0.7500  0.0000  4 Sn 2.26
O  0.7500  0.2500  0.0000  4 Sn 2.26

---

Record 3
SnPIrO | PBE | optimized geometry

Results
electronic total energy	-5.954	eV/atom
total magnetization	0.006	μB/cell

a = 3.9832 Å, b = 5.7658 Å, c = 6.3012 Å
α = 90.00°, β = 90.00°, γ = 90.00°
Closest atoms and distances in Å follow each position.
Positions (direct):
Sn  0.0000  0.1710  0.0000  2 O 2.25-2.43
Sn  0.0000  0.8290  0.5000  2 O 2.25-2.43
P  0.5000  0.3610  0.7612  2 Ir 2.24-2.27
P  0.5000  0.6390  0.2612  2 Ir 2.24-2.27
Ir  0.5000  0.2827  0.4132  2 O 2.06, 2 P 2.24-2.27
Ir  0.5000  0.7173  0.9132  2 O 2.06, 2 P 2.24-2.27
O  0.0000  0.1980  0.3843  2 Ir 2.06, 1 Sn 2.25
O  0.0000  0.8020  0.8843  2 Ir 2.06, 1 Sn 2.25

---

Record 4
SnPIrO | PBE | optimized geometry

Results
electronic total energy	-5.387	eV/atom
total magnetization	0.007	μB/cell

a = 4.5575 Å, b = 4.5575 Å, c = 6.1558 Å
α = 90.00°, β = 90.00°, γ = 90.00°
Closest atoms and distances in Å follow each position.
Positions (direct):
Sn  0.2500  0.7500  0.0000  4 P 2.61
Sn  0.7500  0.2500  0.0000  4 P 2.61
P  0.2500  0.2500  0.2082  1 Ir 2.22
P  0.7500  0.7500  0.7919  1 Ir 2.22
Ir  0.2500  0.2500  0.5687  1 P 2.22, 4 O 2.32
Ir  0.7500  0.7500  0.4313  1 P 2.22, 4 O 2.32
O  0.2500  0.7500  0.5000  4 Ir 2.32
O  0.7500  0.2500  0.5000  4 Ir 2.32

---

Record 5
SnPIrO | PBE | optimized geometry

Results
electronic total energy	-6.178	eV/atom
total magnetization	0.000	μB/cell

a = 3.0387 Å, b = 7.9104 Å, c = 5.3801 Å
α = 90.00°, β = 90.00°, γ = 90.00°
Closest atoms and distances in Å follow each position.
Positions (direct):
Sn  0.0000  0.2456  0.0000  2 O 2.33, 1 P 2.59
Sn  0.0000  0.7544  0.5000  2 O 2.33, 1 P 2.59
P  0.0000  0.3775  0.4416  2 Ir 2.33, 1 Sn 2.59
P  0.0000  0.6225  0.9416  2 Ir 2.33, 1 Sn 2.59
Ir  0.5000  0.1778  0.5882  2 O 2.09-2.21, 2 P 2.33
Ir  0.5000  0.8222  0.0882  2 O 2.09-2.21, 2 P 2.33
O  0.5000  0.0733  0.2079  2 Ir 2.09-2.21, 2 Sn 2.33
O  0.5000  0.9267  0.7079  2 Ir 2.09-2.21, 2 Sn 2.33

---

Record 6
SrPIrO | PBE | optimized geometry

Results
electronic total energy	-6.594	eV/atom
total magnetization	0.669	μB/cell

a = 4.0318 Å, b = 4.0318 Å, c = 9.3811 Å
α = 90.00°, β = 90.00°, γ = 90.00°
Closest atoms and distances in Å follow each position.
Positions (direct):
Sr  0.2500  0.2500  0.1290  4 O 2.35
Sr  0.7500  0.7500  0.8710  4 O 2.35
P  0.2500  0.2500  0.6335  4 Ir 2.37
P  0.7500  0.7500  0.3665  4 Ir 2.37
Ir  0.2500  0.7500  0.5000  4 P 2.37
Ir  0.7500  0.2500  0.5000  4 P 2.37
O  0.2500  0.7500  0.0000  4 Sr 2.35
O  0.7500  0.2500  0.0000  4 Sr 2.35